DFT (PBE-GGA) results for a geometry-optimized CaSmBiPb structure.

Cell lengths 5.593, 5.593, 5.593 Å; angles 60.00, 60.00, 60.00 degrees
Sites, in units of the cell vectors:
Ca: 0.000 0.000 0.000
Sm: 0.500 0.500 0.500
Bi: 0.250 0.250 0.250
Pb: 0.750 0.750 0.750

## Properties
**Energy relative to the elements**: -524 meV per atom
**Total magnetic moment**: 0.000 μB/cell